Here is a relaxed Cr4O4F crystal from Alexandria. Energies are from PBE with a Hubbard U.

Values from the calculation:
The density of states at the Fermi level comes out at 0.063 states/eV per atom. Its calculated total energy is -66.80 eV per formula unit.

abc: 5.851 5.851 7.039
angles: 90.00 90.00 102.26
Last column: magnetic moment on the atom in μB.
Element x y z (fractional)
O (0.869, 0.562, 0.750)  -0.06
O (0.845, 0.155, 0.000)  -0.12
O (0.131, 0.438, 0.250)  -0.06
O (0.562, 0.869, 0.750)  -0.06
Cr (0.227, 0.705, 0.750)  3.54
Cr (0.295, 0.773, 0.250)  3.54
F (0.346, 0.346, 0.750)  0.07
Cr (0.801, 0.801, 0.553)  3.74
F (0.654, 0.654, 0.250)  0.07
Cr (0.801, 0.801, 0.947)  3.74
O (0.438, 0.131, 0.250)  -0.06
Cr (0.199, 0.199, 0.447)  3.74
O (0.155, 0.845, 0.500)  -0.12
Cr (0.199, 0.199, 0.053)  3.74
O (0.155, 0.845, 0.000)  -0.12
O (0.845, 0.155, 0.500)  -0.12
Cr (0.705, 0.227, 0.750)  3.54
Cr (0.773, 0.295, 0.250)  3.54